1.
A relaxed TbCd2Ag crystal. Source: Alexandria via LeMat-Bulk, functional PBE-GGA.

As for the density of states at the Fermi level: 0.628 states/eV/atom. The spin magnetization is 0.20 μB/cell. The calculation puts the calculated formation energy at -0.189 eV/atom.

Cell lengths 3.4484, 3.4484, 7.6342 Å; angles 90.00, 90.00, 90.00 degrees
Element x y z (fractional)
1 Tb 0.0000 0.0000 0.0000
2 Cd 0.5000 0.5000 0.2822
3 Cd 0.5000 0.5000 0.7178
4 Ag 0.0000 0.0000 0.5000

---

2.
A relaxed CeEu2Ga crystal. Source: Alexandria via LeMat-Bulk, functional PBE-GGA.

As for the density of states at the Fermi level: 1.525 states/eV/atom. The spin magnetization is 67.41 μB/cell. The calculation puts the calculated formation energy at -0.015 eV/atom.

Cell lengths 7.6780, 7.6780, 7.6780 Å; angles 90.00, 90.00, 90.00 degrees
Element x y z (fractional)
1 Ce 0.0000 0.0000 0.0000
2 Ce 0.0000 0.5000 0.5000
3 Ce 0.5000 0.0000 0.5000
4 Ce 0.5000 0.5000 0.0000
5 Eu 0.2500 0.2500 0.2500
6 Eu 0.2500 0.2500 0.7500
7 Eu 0.2500 0.7500 0.2500
8 Eu 0.2500 0.7500 0.7500
9 Eu 0.7500 0.2500 0.2500
10 Eu 0.7500 0.2500 0.7500
11 Eu 0.7500 0.7500 0.2500
12 Eu 0.7500 0.7500 0.7500
13 Ga 0.0000 0.0000 0.5000
14 Ga 0.0000 0.5000 0.0000
15 Ga 0.5000 0.0000 0.0000
16 Ga 0.5000 0.5000 0.5000

---

3.
A relaxed Sm4DySb4 crystal. Source: Alexandria via LeMat-Bulk, functional PBE-GGA.

The formation energy without anion corrections comes out at -626 meV per atom. As for the density of states at the Fermi level: 0.787 states/eV/atom. The spin magnetization is 0.00 μB/cell.

Cell lengths 7.5192, 7.5192, 7.5192 Å; angles 115.67, 115.67, 97.69 degrees
Element x y z (fractional)
1 Sm 0.0000 0.5000 0.5000
2 Sm 0.1708 0.1708 0.0000
3 Sm 0.5000 0.0000 0.5000
4 Sm 0.8292 0.8292 0.0000
5 Dy 0.5000 0.5000 0.0000
6 Sb 0.1229 0.5915 0.0000
7 Sb 0.4085 0.4085 0.5314
8 Sb 0.5915 0.1229 0.0000
9 Sb 0.8771 0.8771 0.4686

---

4.
A relaxed CaZrBiRh2 crystal. Source: Alexandria via LeMat-Bulk, functional PBE-GGA.

As for the density of states at the Fermi level: 1.235 states/eV/atom. The spin magnetization is 0.00 μB/cell. The calculation puts the calculated formation energy at 0.989 eV/atom.

Cell lengths 4.6876, 4.6876, 5.5465 Å; angles 90.00, 90.00, 90.00 degrees
Element x y z (fractional)
1 Ca 0.0000 0.0000 0.0000
2 Zr 0.5000 0.5000 0.5000
3 Bi 0.0000 0.0000 0.5000
4 Rh 0.0000 0.5000 0.0000
5 Rh 0.5000 0.0000 0.0000

---

Question: spin magnetization of number 2 (CeEu2Ga)?
Answer: 67.41 μB/cell

---

Question: Which value of spin magnetization does entry 1 give?
Answer: 0.20 μB/cell

---

Question: Among the records above, which one has the highest spin magnetization?
Answer: CeEu2Ga